Entry 1:
# LaTaZnCo2

A relaxed structure of LaTaZnCo2 (PBE, Alexandria via LeMat-Bulk).

Cell: 4.444 5.143 4.444 Å, 90.00 90.00 90.00°
Each line ends with the local moment (μB).
Positions (direct):
Zn: 0.000 0.000 0.000  -0.06
La: 0.000 0.500 0.000  -0.04
Co: 0.000 0.000 0.500  1.53
Co: 0.500 0.000 0.000  1.26
Ta: 0.500 0.500 0.500  -0.13

Values from the calculation:
Formation enthalpy at 0 K   1.2406 eV per atom


Entry 2:
# LaTbCo2

A relaxed structure of LaTbCo2 (PBE, Alexandria via LeMat-Bulk).

Cell: 4.856 4.856 4.856 Å, 60.00 60.00 60.00°
Each line ends with the local moment (μB).
Positions (direct):
Co: 0.250 0.250 0.250  0.67
Co: 0.750 0.750 0.750  0.67
Tb: 0.500 0.500 0.500  -0.22
La: 0.000 0.000 0.000  -0.15

Values from the calculation:
Offset from the most stable computed form   88 meV/atom
Formation enthalpy at 0 K   -0.0225 eV per atom